# 1
# RbAgGe2 | the Alexandria database | PBEsol | optimized geometry
data_RbAgGe2
_cell_length_a 7.0693
_cell_length_b 7.0693
_cell_length_c 7.0693
_cell_angle_alpha 90.00
_cell_angle_beta 90.00
_cell_angle_gamma 90.00
_symmetry_space_group_name_H-M 'F m -3 m'
_symmetry_Int_Tables_number 225
_symmetry_space_group_name_Hall '-F 4 2 3'
loop_
_atom_site_label
_atom_site_fract_x
_atom_site_fract_y
_atom_site_fract_z
_atom_site_occupancy
Rb1 0.0000 0.0000 0.0000 1
Ag1 0.0000 0.0000 0.5000 1
Ge1 0.2500 0.2500 0.2500 1
# - Size of the total moment: 0.00 Bohr magnetons per cell
# - ΔH_f (0 K): 0.467 eV per atom
# - Calculated total energy: -49.39 eV per cell

***

# 2
# SrLiTc2 | the Alexandria database | PBEsol | optimized geometry
data_SrLiTc2
_cell_length_a 3.3159
_cell_length_b 3.3159
_cell_length_c 6.8225
_cell_angle_alpha 90.00
_cell_angle_beta 90.00
_cell_angle_gamma 90.00
_symmetry_space_group_name_H-M 'P 4/m m m'
_symmetry_Int_Tables_number 123
_symmetry_space_group_name_Hall '-P 4 2'
loop_
_atom_site_label
_atom_site_fract_x
_atom_site_fract_y
_atom_site_fract_z
_atom_site_occupancy
Sr1 0.0000 0.0000 0.0000 1
Li1 0.0000 0.0000 0.5000 1
Tc1 0.5000 0.5000 0.3443 1
# - Size of the total moment: 0.00 Bohr magnetons per cell
# - ΔE to the lowest computed polymorph: 40 meV per atom
# - ΔH_f (0 K): 0.779 eV per atom
# - Calculated total energy: -23.22 eV per cell

***

# 3
# CsBa2TaIn | the Alexandria database | PBEsol | optimized geometry
data_CsBa2TaIn
_cell_length_a 6.6458
_cell_length_b 6.6458
_cell_length_c 5.4661
_cell_angle_alpha 90.00
_cell_angle_beta 90.00
_cell_angle_gamma 90.00
_symmetry_space_group_name_H-M 'P 4/m m m'
_symmetry_Int_Tables_number 123
_symmetry_space_group_name_Hall '-P 4 2'
loop_
_atom_site_label
_atom_site_fract_x
_atom_site_fract_y
_atom_site_fract_z
_atom_site_occupancy
Cs1 0.0000 0.0000 0.0000 1
Ba1 0.0000 0.5000 0.5000 1
Ta1 0.5000 0.5000 0.0000 1
In1 0.5000 0.5000 0.5000 1
# - Size of the total moment: 3.19 Bohr magnetons per cell
# - ΔH_f (0 K): 0.846 eV per atom
# - Calculated total energy: -16.54 eV per cell

***

# 4
# CaTaAg2 | the Alexandria database | PBEsol | optimized geometry
data_CaTaAg2
_cell_length_a 2.9279
_cell_length_b 4.9686
_cell_length_c 5.2128
_cell_angle_alpha 90.00
_cell_angle_beta 90.00
_cell_angle_gamma 90.00
_symmetry_space_group_name_H-M 'P m m 2'
_symmetry_Int_Tables_number 25
loop_
_symmetry_equiv_pos_as_xyz
'x,y,z'
'-x,-y,z'
'-x,y,z'
'x,-y,z'
loop_
_atom_site_label
_atom_site_fract_x
_atom_site_fract_y
_atom_site_fract_z
_atom_site_occupancy
Ca1 0.0000 0.0000 0.0000 1
Ta1 0.0000 0.5000 0.5909 1
Ag1 0.5000 0.0000 0.4929 1
Ag2 0.5000 0.5000 0.1132 1
# - Size of the total moment: 0.00 Bohr magnetons per cell
# - ΔE to the lowest computed polymorph: 11 meV per atom
# - ΔH_f (0 K): 0.261 eV per atom
# - Calculated total energy: -20.26 eV per cell